Record 1
! RbInAgF6 (PBE, relaxed); values from VASP
! * raw formation energy: -2137.6 meV/atom
! * total moment: 1.1 μB/f.u.
! * uncorrected energy: -4.114 eV/atom
&SYSTEM
  ibrav = 0, nat = 9, ntyp = 4
/
ATOMIC_SPECIES
F 19.00 F.upf
In 114.82 In.upf
Rb 85.47 Rb.upf
Ag 107.87 Ag.upf
CELL_PARAMETERS angstrom
5.850 0.139 -0.044
3.045 5.274 -0.092
-0.040 -0.069 5.878
ATOMIC_POSITIONS crystal
F 0.606 0.353 0.723
F 0.010 0.369 0.308
In 0.346 0.327 0.500
F 0.369 0.012 0.679
F 0.010 0.621 0.692
Rb 0.014 0.993 0.000
Ag 0.670 0.665 0.500
F 0.606 0.041 0.277
F 0.369 0.620 0.321

***

Record 2
! PbW2Br (PBE, relaxed); values from VASP
! * raw formation energy: 537.6 meV/atom
! * Fermi-level density of states: 1.101 states/eV per atom
! * total moment: 0.0 μB/f.u.
! * E above lowest polymorph: 0.72 eV per formula unit
! * uncorrected energy: -7.284 eV/atom
&SYSTEM
  ibrav = 0, nat = 4, ntyp = 3
/
ATOMIC_SPECIES
W 183.84 W.upf
Pb 207.20 Pb.upf
Br 79.90 Br.upf
CELL_PARAMETERS angstrom
-1.539 -2.408 1.516
-0.521 -1.456 -2.842
7.578 -4.325 0.826
ATOMIC_POSITIONS crystal
W 0.000 0.000 0.055
Pb 0.500 0.500 0.804
W 0.500 0.500 0.207
Br 0.000 0.000 0.433

***

no.,volume (A^3/atom)
1,19.87
2,22.93